Compound: Ga2NiO4
Source: Alexandria via LeMat-Bulk
Functional: GGA+U
Structure: optimized geometry

Lattice parameters (Å, degrees): 5.8669 6.0119 5.8669 60.79 90.00 119.21
Closest atoms and distances in Å follow each position.
Fractional positions:
1 O 0.6283 0.7866 0.6067  1 Ni 1.99, 3 Ga 2.02
2 O 0.1217 0.7134 0.1433  1 Ni 1.99, 3 Ga 2.02
3 O 0.6067 0.2134 0.1583  1 Ni 1.99, 3 Ga 2.02
4 Ni 0.0000 0.0000 0.0000  4 O 1.99
5 Ni 0.7500 0.5000 0.7500  4 O 1.99
6 O 0.1583 0.7866 0.6067  1 Ni 1.99, 3 Ga 2.02
7 O 0.6067 0.2134 0.6283  1 Ni 1.99, 3 Ga 2.02
8 O 0.1433 0.2866 0.5917  1 Ni 1.99, 3 Ga 2.02
9 Ga 0.8750 0.2500 0.3750  6 O 2.02
10 O 0.1433 0.2866 0.1217  1 Ni 1.99, 3 Ga 2.02
11 Ga 0.3750 0.7500 0.3750  6 O 2.02
12 O 0.5917 0.7134 0.1433  1 Ni 1.99, 3 Ga 2.02
13 Ga 0.3750 0.2500 0.3750  6 O 2.02
14 Ga 0.3750 0.7500 0.8750  6 O 2.02

Calculated values
- Total moment: 0.29 μB per atom
- Space group: I4_1/amd
- Excess energy over the best structure of this formula in the dataset: 93 meV/atom
- N(E_F): 0.000 states/eV/f.u.